(1)
CuP3O9: single point on PBEsol structure, meta-GGA SCAN.

total DFT energy (no corrections): -9.87 eV/atom
distance to the lowest polymorph of the same formula: 0.00 kJ per mole of atoms

Cell: 8.235 8.409 8.456 Å, 90.00 90.00 90.00°
Space group P2_12_12_1 (No. 19)
Unique sites:
Cu: 0.134 0.144 0.352
P: 0.031 0.681 0.814
P: 0.175 0.512 0.308
P: 0.211 0.191 0.951
O: 0.046 0.224 0.853
O: 0.088 0.372 0.377
O: 0.103 0.598 0.168
O: 0.108 0.127 0.582
O: 0.133 0.816 0.873
O: 0.143 0.534 0.760
O: 0.161 0.153 0.116
O: 0.177 0.915 0.358
O: 0.209 0.635 0.449

=====

(2)
RhSeI2O: single point on PBEsol structure, meta-GGA SCAN.

total DFT energy (no corrections): -26.05 eV/atom
DOS at the Fermi energy: 5.44 states/eV/f.u.

Cell: 5.452 5.452 4.541 Å, 90.00 90.00 90.00°
Space group P4/mmm (No. 123)
Unique sites:
Rh: 0.000 0.000 0.000
Se: 0.000 0.000 0.500
I: 0.000 0.500 0.000
O: 0.500 0.500 0.500

=====

(3)
BaCdB3: single point on PBEsol structure, meta-GGA SCAN.

formation energy: 2.843 eV/atom
total DFT energy (no corrections): -15.61 eV/atom
DOS at the Fermi energy: 3.92 states/eV/f.u.

Cell: 4.885 4.885 4.885 Å, 90.00 90.00 90.00°
Space group Pm-3m (No. 221)
Unique sites:
Ba: 0.000 0.000 0.000
Cd: 0.500 0.500 0.500
B: 0.000 0.000 0.500

=====

(4)
HfTeRuN2: single point on PBEsol structure, meta-GGA SCAN.

total DFT energy (no corrections): -29.84 eV/atom
DOS at the Fermi energy: 3.63 states/eV/f.u.

Cell: 3.904 3.904 5.272 Å, 90.00 90.00 90.00°
Space group P4/mmm (No. 123)
Unique sites:
Hf: 0.000 0.000 0.000
Te: 0.500 0.500 0.000
Ru: 0.500 0.500 0.500
N: 0.000 0.500 0.500

=====

(5)
NiAg2Cl: single point on PBEsol structure, meta-GGA SCAN.

total DFT energy (no corrections): -21.40 eV/atom
DOS at the Fermi energy: 1.39 states/eV/f.u.
distance to the lowest polymorph of the same formula: 0.53 kJ per mole of atoms

Cell: 3.081 4.450 4.615 Å, 90.00 90.00 90.00°
Space group Pmmm (No. 47)
Unique sites:
Ni: 0.000 0.000 0.000
Ag: 0.000 0.500 0.500
Ag: 0.500 0.000 0.500
Cl: 0.500 0.500 0.000

=====

(6)
Na3CdSi: single point on PBEsol structure, meta-GGA SCAN.

total DFT energy (no corrections): -10.00 eV/atom
DOS at the Fermi energy: 1.78 states/eV/f.u.

Cell: 5.466 5.466 5.466 Å, 90.00 90.00 90.00°
Space group Pm-3m (No. 221)
Unique sites:
Na: 0.000 0.000 0.500
Cd: 0.000 0.000 0.000
Si: 0.500 0.500 0.500

=====

| no. | mass density (g cm⁻³) |
| --- | --- |
| 1 | 3.4 |
| 2 | 5.6 |
| 3 | 4.0 |
| 4 | 9.0 |
| 5 | 8.1 |
| 6 | 2.1 |